The following is a DFT calculation (PBE+U) of an optimized crystal structure of KCo2AuO.

Summary:
Its total energy is -3.830 eV/atom. For the total magnetization, the calculation gives 4.1 μB/cell.

Cell lengths 4.084, 5.179, 4.084 Å; angles 90.00, 90.00, 90.00 degrees
Fractional positions:
Co (0.500, 0.000, 0.000)
O (0.000, 0.000, 0.000)
K (0.000, 0.500, 0.000)
Au (0.500, 0.500, 0.500)
Co (0.000, 0.000, 0.500)

---

The following is a DFT calculation (PBE+U) of an optimized crystal structure of K5CoAuO2.

Summary:
Its total energy is -3.430 eV/atom. For the total magnetization, the calculation gives 2.7 μB/cell.

Cell lengths 5.476, 5.476, 8.947 Å; angles 90.00, 90.00, 90.00 degrees
Fractional positions:
Co (0.000, 0.000, 0.000)
O (0.000, 0.000, 0.199)
K (0.000, 0.000, 0.500)
K (0.000, 0.500, 0.220)
K (0.500, 0.000, 0.220)
Au (0.500, 0.500, 0.500)
O (0.000, 0.000, 0.801)
K (0.500, 0.000, 0.780)
K (0.000, 0.500, 0.780)